Density functional theory data (PBE+U) for K3PaNi2O6 after structural relaxation.

Lattice parameters (Å, degrees): 5.6532 5.6532 6.4568 98.18 98.18 120.14
Last column: nearest neighbours and their distance in Å.
Positions (direct):
K 0.1759 0.8241 0.5000  6 O 2.67-2.77
K 0.8241 0.1759 0.5000  6 O 2.67-2.77
K 0.5000 0.5000 0.5000  6 O 2.69-2.72
Pa 0.0000 0.0000 0.0000  6 O 2.20-2.21
Ni 0.3335 0.6665 0.0000  6 O 2.19-2.21
Ni 0.6665 0.3335 0.0000  6 O 2.19-2.21
O 0.9386 0.6045 0.8170  2 Ni 2.19-2.20, 1 Pa 2.21
O 0.7279 0.7279 0.1862  1 Pa 2.20, 2 Ni 2.21
O 0.0614 0.3955 0.1830  2 Ni 2.19-2.20, 1 Pa 2.21
O 0.6045 0.9386 0.8170  2 Ni 2.19-2.20, 1 Pa 2.21
O 0.2721 0.2721 0.8138  1 Pa 2.20, 2 Ni 2.21
O 0.3955 0.0614 0.1830  2 Ni 2.19-2.20, 1 Pa 2.21

Computed properties:
Raw total energy ... -5.912 eV/atom
Spin magnetization ... 0.3303 μB/atom
ρ ... 5.454 g/cm³
SG ... C2/m, No. 12